# 1
## Er3CuO6 (GGA-PBE)

Data for Er3CuO6 after structural relaxation.

It has space group Cmc2_1 (No. 36), with a = 8.7954 Å, b = 10.8576 Å, c = 5.3994 Å, α = 90.00°, β = 90.00° and γ = 90.00°. The inequivalent atoms are Er at (0.0000, 0.1030, 0.0000), Er at (0.1990, 0.3887, 0.0537), Cu at (0.0000, 0.3476, 0.5615), O at (0.0000, 0.2787, 0.2375), O at (0.0000, 0.4799, 0.8206), O at (0.1516, 0.2482, 0.7496) and O at (0.1597, 0.0146, 0.2780).

The total energy comes out at -7.51 eV/atom. The uncorrected formation energy is -2.758 eV/atom. The value obtained for the density of states at the Fermi level is 11.001 states/eV per cell. As for the crystal system: orthorhombic.

# 2
## Er2CuO (GGA-PBE)

Data for Er2CuO after structural relaxation.

It has space group R-3m (No. 166, hexagonal axes), with a = 3.3376 Å, b = 3.3376 Å, c = 24.7489 Å, α = 90.00°, β = 90.00° and γ = 120.00°. The inequivalent atoms are Er at (0.0000, 0.0000, 0.1111), Cu at (0.0000, 0.0000, 0.0000) and O at (0.0000, 0.0000, 0.5000).

The total energy comes out at -5.47 eV/atom. The uncorrected formation energy is -0.929 eV/atom. The value obtained for the density of states at the Fermi level is 4.485 states/eV per cell. As for the crystal system: trigonal.

# 3
## ErCu3O4 (GGA-PBE)

Data for ErCu3O4 after structural relaxation.

It has space group Pm-3n (No. 223), with a = 5.6185 Å, b = 5.6185 Å, c = 5.6185 Å, α = 90.00°, β = 90.00° and γ = 90.00°. The inequivalent atoms are Er at (0.0000, 0.0000, 0.0000), Cu at (0.0000, 0.2500, 0.5000) and O at (0.2500, 0.2500, 0.2500).

The total energy comes out at -6.03 eV/atom. The uncorrected formation energy is -1.442 eV/atom. The value obtained for the density of states at the Fermi level is 7.252 states/eV per cell. As for the crystal system: cubic.

# 4
## Er4CuO7 (GGA-PBE)

Data for Er4CuO7 after structural relaxation.

It has space group C2/m (No. 12), with a = 12.3858 Å, b = 3.8508 Å, c = 8.9101 Å, α = 90.00°, β = 133.61° and γ = 90.00°. The inequivalent atoms are Er at (0.0883, 0.0000, 0.4006), Er at (0.2470, 0.0000, 0.1563), Cu at (0.0000, 0.5000, 0.0000), O at (0.0000, 0.0000, 0.0000), O at (0.0919, 0.5000, 0.8917), O at (0.1342, 0.0000, 0.6960) and O at (0.2048, 0.5000, 0.5570).

The total energy comes out at -7.81 eV/atom. The uncorrected formation energy is -3.052 eV/atom. The value obtained for the density of states at the Fermi level is 3.027 states/eV per cell. As for the crystal system: monoclinic.

# 5
## Er4Cu2O (GGA-PBE)

Data for Er4Cu2O after structural relaxation.

It has space group I4/mmm (No. 139), with a = 4.6174 Å, b = 4.6174 Å, c = 13.7129 Å, α = 90.00°, β = 90.00° and γ = 90.00°. The inequivalent atoms are Er at (0.0000, 0.0000, 0.1862), Er at (0.0000, 0.5000, 0.0000), Cu at (0.0000, 0.0000, 0.3798) and O at (0.0000, 0.0000, 0.0000).

The total energy comes out at -5.40 eV/atom. The uncorrected formation energy is -0.910 eV/atom. The value obtained for the density of states at the Fermi level is 15.937 states/eV per cell. As for the crystal system: tetragonal.

# 6
## ErPaCu2O8 (GGA-PBE)

Data for ErPaCu2O8 after structural relaxation.

It has space group I-4m2 (No. 119), with a = 7.1132 Å, b = 7.1132 Å, c = 6.4457 Å, α = 90.00°, β = 90.00° and γ = 90.00°. The inequivalent atoms are Er at (0.0000, 0.0000, 0.0000), Pa at (0.0000, 0.5000, 0.7500), Cu at (0.0000, 0.0000, 0.5000), Cu at (0.0000, 0.5000, 0.2500), O at (0.0000, 0.1842, 0.7020) and O at (0.0000, 0.3222, 0.0424).

The total energy comes out at -6.90 eV/atom. The uncorrected formation energy is -1.743 eV/atom. The value obtained for the density of states at the Fermi level is 14.391 states/eV per cell. As for the crystal system: tetragonal.

# 7
## ErPa2CuO8 (GGA-PBE)

Data for ErPa2CuO8 after structural relaxation.

It has space group I-4 (No. 82), with a = 5.3299 Å, b = 5.3299 Å, c = 10.8289 Å, α = 90.00°, β = 90.00° and γ = 90.00°. The inequivalent atoms are Er at (0.0000, 0.0000, 0.0000), Pa at (0.0000, 0.0000, 0.5000), Pa at (0.0000, 0.5000, 0.7500), Cu at (0.0000, 0.5000, 0.2500), O at (0.2013, 0.2951, 0.5971) and O at (0.2132, 0.2671, 0.3460).

The total energy comes out at -8.47 eV/atom. The uncorrected formation energy is -2.860 eV/atom. The value obtained for the density of states at the Fermi level is 12.340 states/eV per cell. As for the crystal system: tetragonal.

# 8
## Sr2ErCu3Pb2O8 (GGA-PBE)

Data for Sr2ErCu3Pb2O8 after structural relaxation.

It has space group P4/mmm (No. 123), with a = 3.8266 Å, b = 3.8266 Å, c = 15.9733 Å, α = 90.00°, β = 90.00° and γ = 90.00°. The inequivalent atoms are Sr at (0.0000, 0.0000, 0.2203), Er at (0.0000, 0.0000, 0.0000), Cu at (0.0000, 0.0000, 0.5000), Cu at (0.5000, 0.5000, 0.1025), Pb at (0.5000, 0.5000, 0.3873), O at (0.0000, 0.0000, 0.3834), O at (0.0000, 0.5000, 0.0897) and O at (0.5000, 0.5000, 0.2504).

The total energy comes out at -5.93 eV/atom. The uncorrected formation energy is -1.722 eV/atom. The value obtained for the density of states at the Fermi level is 2.350 states/eV per cell. As for the crystal system: tetragonal.

# 9
## ErCuPtO4 (GGA-PBE)

Data for ErCuPtO4 after structural relaxation.

It has space group Imma (No. 74), with a = 6.4225 Å, b = 7.0564 Å, c = 8.5633 Å, α = 90.00°, β = 90.00° and γ = 90.00°. The inequivalent atoms are Er at (0.0000, 0.0000, 0.0000), Cu at (0.0000, 0.2500, 0.4408), Pt at (0.2500, 0.2500, 0.7500), O at (0.0000, 0.0610, 0.7401) and O at (0.2198, 0.2500, 0.9957).

The total energy comes out at -6.43 eV/atom. The uncorrected formation energy is -1.501 eV/atom. The value obtained for the density of states at the Fermi level is 0.006 states/eV per cell. As for the crystal system: orthorhombic.

# 10
## RbErCuO3 (GGA-PBE)

Data for RbErCuO3 after structural relaxation.

It has space group P2_1/m (No. 11), with a = 7.5607 Å, b = 3.5778 Å, c = 9.1807 Å, α = 90.00°, β = 112.20° and γ = 90.00°. The inequivalent atoms are Rb at (0.2079, 0.2500, 0.1898), Er at (0.3276, 0.7500, 0.8626), Cu at (0.0371, 0.2500, 0.6243), O at (0.1262, 0.2500, 0.8519), O at (0.1277, 0.7500, 0.5994) and O at (0.4742, 0.7500, 0.1212).

The total energy comes out at -6.05 eV/atom. The uncorrected formation energy is -1.966 eV/atom. The value obtained for the density of states at the Fermi level is 0.011 states/eV per cell. As for the crystal system: monoclinic.

# 11
## RbErCuO2 (GGA-PBE)

Data for RbErCuO2 after structural relaxation.

It has space group P2/c (No. 13), with a = 7.4915 Å, b = 5.6440 Å, c = 6.6168 Å, α = 90.00°, β = 108.97° and γ = 90.00°. The inequivalent atoms are Rb at (0.0000, 0.1978, 0.2500), Er at (0.5000, 0.4910, 0.7500), Cu at (0.5000, 0.0000, 0.0000) and O at (0.3824, 0.2942, 0.4508).

The total energy comes out at -5.63 eV/atom. The uncorrected formation energy is -1.717 eV/atom. The value obtained for the density of states at the Fermi level is 2.745 states/eV per cell. As for the crystal system: monoclinic.

# 12
## RbEr2CuO4 (GGA-PBE)

Data for RbEr2CuO4 after structural relaxation.

It has space group Cmcm (No. 63), with a = 3.4571 Å, b = 11.7321 Å, c = 11.7989 Å, α = 90.00°, β = 90.00° and γ = 90.00°. The inequivalent atoms are Rb at (0.0000, 0.1006, 0.2500), Er at (0.0000, 0.3663, 0.0597), Cu at (0.0000, 0.1751, 0.7500), O at (0.0000, 0.0000, 0.0000), O at (0.0000, 0.2521, 0.5944) and O at (0.0000, 0.4163, 0.2500).

The total energy comes out at -6.73 eV/atom. The uncorrected formation energy is -2.473 eV/atom. As for the crystal system: orthorhombic.

# 13
## Rb2ErCu2O4 (GGA-PBE)

Data for Rb2ErCu2O4 after structural relaxation.

It has space group C2/m (No. 12), with a = 13.4714 Å, b = 3.4447 Å, c = 6.6578 Å, α = 90.00°, β = 107.27° and γ = 90.00°. The inequivalent atoms are Rb at (0.1290, 0.0000, 0.0534), Er at (0.0000, 0.0000, 0.5000), Cu at (0.1817, 0.5000, 0.5288), O at (0.0311, 0.5000, 0.3024) and O at (0.1827, 0.0000, 0.6607).

The total energy comes out at -5.35 eV/atom. The uncorrected formation energy is -1.518 eV/atom. The value obtained for the density of states at the Fermi level is 9.590 states/eV per cell. As for the crystal system: monoclinic.

# 14
## ErCu3Rh4O12 (GGA-PBE)

Data for ErCu3Rh4O12 after structural relaxation.

It has space group Im-3 (No. 204), with a = 7.5009 Å, b = 7.5009 Å, c = 7.5009 Å, α = 90.00°, β = 90.00° and γ = 90.00°. The inequivalent atoms are Er at (0.0000, 0.0000, 0.0000), Cu at (0.0000, 0.0000, 0.5000), Rh at (0.2500, 0.2500, 0.2500) and O at (0.0000, 0.3009, 0.1615).

The total energy comes out at -6.31 eV/atom. The uncorrected formation energy is -1.017 eV/atom. The value obtained for the density of states at the Fermi level is 16.115 states/eV per cell. As for the crystal system: cubic.

# 15
## ErCuTeO6 (GGA-PBE)

Data for ErCuTeO6 after structural relaxation.

It has space group P4_2nm (No. 102), with a = 4.8528 Å, b = 4.8528 Å, c = 9.5330 Å, α = 90.00°, β = 90.00° and γ = 90.00°. The inequivalent atoms are Er at (0.0000, 0.0000, 0.0000), Cu at (0.0000, 0.0000, 0.3291), Te at (0.0000, 0.0000, 0.6627), O at (0.1777, 0.1777, 0.5014), O at (0.1962, 0.1962, 0.8106) and O at (0.2139, 0.2139, 0.1695).

The total energy comes out at -6.09 eV/atom. The uncorrected formation energy is -1.477 eV/atom. The value obtained for the density of states at the Fermi level is 8.218 states/eV per cell. As for the crystal system: tetragonal.

# 16
## ErUCu2O8 (GGA-PBE)

Data for ErUCu2O8 after structural relaxation.

It has space group I-4m2 (No. 119), with a = 6.8582 Å, b = 6.8582 Å, c = 6.6699 Å, α = 90.00°, β = 90.00° and γ = 90.00°. The inequivalent atoms are Er at (0.0000, 0.0000, 0.0000), U at (0.0000, 0.5000, 0.2500), Cu at (0.0000, 0.0000, 0.5000), Cu at (0.0000, 0.5000, 0.7500), O at (0.0000, 0.1944, 0.3001) and O at (0.0000, 0.3247, 0.9563).

The total energy comes out at -7.05 eV/atom. The uncorrected formation energy is -1.743 eV/atom. The value obtained for the density of states at the Fermi level is 16.868 states/eV per cell. As for the crystal system: tetragonal.

# 17
## Er8CuOs2 (GGA-PBE)

Data for Er8CuOs2 after structural relaxation.

It has space group C2/m (No. 12), with a = 17.4369 Å, b = 4.7569 Å, c = 6.9108 Å, α = 90.00°, β = 107.60° and γ = 90.00°. The inequivalent atoms are Er at (0.0328, 0.0000, 0.2830), Er at (0.0979, 0.5000, 0.9685), Er at (0.1702, 0.5000, 0.4621), Er at (0.2053, 0.0000, 0.8148), Cu at (0.0000, 0.5000, 0.5000) and Os at (0.1854, 0.0000, 0.2035).

The total energy comes out at -5.94 eV/atom. As for the formation enthalpy at 0 K: -2.26 eV per formula unit. The value obtained for the density of states at the Fermi level is 21.766 states/eV per cell. The energy above the most stable polymorph in this dataset comes out at 0.000 eV per atom. As for the crystal system: monoclinic.

# 18
## ErCuOs (GGA-PBE)

Data for ErCuOs after structural relaxation.

It has space group Imma (No. 74), with a = 5.1306 Å, b = 5.1620 Å, c = 7.7590 Å, α = 90.00°, β = 90.00° and γ = 90.00°. The inequivalent atoms are Er at (0.0000, 0.2500, 0.1293), Cu at (0.2500, 0.2500, 0.7500) and Os at (0.0000, 0.0000, 0.5000).

The total energy comes out at -6.92 eV/atom. As for the formation enthalpy at 0 K: -0.88 eV per formula unit. The value obtained for the density of states at the Fermi level is 6.645 states/eV per cell. The energy above the most stable polymorph in this dataset comes out at 0.000 eV per atom. As for the crystal system: orthorhombic.

# 19
## Er4CuOs (GGA-PBE)

Data for Er4CuOs after structural relaxation.

It has space group P2_1/c (No. 14), with a = 6.7945 Å, b = 6.8143 Å, c = 6.8303 Å, α = 90.00°, β = 91.91° and γ = 90.00°. The inequivalent atoms are Er at (0.1559, 0.1626, 0.1719), Er at (0.3320, 0.6629, 0.1534), Cu at (0.5000, 0.0000, 0.0000) and Os at (0.0000, 0.0000, 0.5000).

The total energy comes out at -5.72 eV/atom. As for the formation enthalpy at 0 K: -0.76 eV per formula unit. The value obtained for the density of states at the Fermi level is 9.337 states/eV per cell. The energy above the most stable polymorph in this dataset comes out at 0.057 eV per atom. As for the crystal system: monoclinic.

# 20
## Er4Cu3Os (GGA-PBE)

Data for Er4Cu3Os after structural relaxation.

It has space group P4/mmm (No. 123), with a = 3.4006 Å, b = 3.4006 Å, c = 13.8962 Å, α = 90.00°, β = 90.00° and γ = 90.00°. The inequivalent atoms are Er at (0.0000, 0.0000, 0.1191), Er at (0.0000, 0.0000, 0.3735), Cu at (0.5000, 0.5000, 0.2519), Cu at (0.5000, 0.5000, 0.5000) and Os at (0.5000, 0.5000, 0.0000).

The total energy comes out at -5.51 eV/atom. As for the formation enthalpy at 0 K: -2.28 eV per formula unit. The value obtained for the density of states at the Fermi level is 4.837 states/eV per cell. As for the crystal system: tetragonal.